NiPAu2: optimized geometry, PBE-GGA.

Lattice parameters (Å, degrees): 8.914 8.914 8.914 18.79 18.79 18.79
Sites, in units of the cell vectors:
Ni 0.000 0.000 0.000
P 0.279 0.279 0.279
Au 0.513 0.513 0.513
Au 0.749 0.749 0.749

Properties
Formation enthalpy at 0 K (eV per atom): 0.01

***

NiPAu2: optimized geometry, PBE-GGA.

Lattice parameters (Å, degrees): 4.169 3.433 4.647 90.00 106.46 90.00
Sites, in units of the cell vectors:
Ni 0.000 0.000 0.000
P 0.936 0.500 0.702
Au 0.354 0.000 0.590
Au 0.581 0.500 0.182

Properties
Formation enthalpy at 0 K (eV per atom): 0.06

***

Ni2P2Au: optimized geometry, PBE-GGA.

Lattice parameters (Å, degrees): 7.020 7.020 2.747 90.00 90.00 90.00
Sites, in units of the cell vectors:
Ni 0.130 0.370 0.000
Ni 0.370 0.870 0.000
Ni 0.630 0.130 0.000
Ni 0.870 0.630 0.000
P 0.155 0.655 0.500
P 0.345 0.155 0.500
P 0.655 0.845 0.500
P 0.845 0.345 0.500
Au 0.000 0.000 0.500
Au 0.500 0.500 0.500

Properties
Excess energy over the best structure of this formula in the dataset (meV per atom): 63.6
Formation enthalpy at 0 K (eV per atom): 0.03

***

NiPAu3: optimized geometry, PBE-GGA.

Lattice parameters (Å, degrees): 4.716 4.716 4.716 90.00 90.00 90.00
Sites, in units of the cell vectors:
Ni 0.000 0.000 0.000
P 0.500 0.500 0.500
Au 0.000 0.000 0.500
Au 0.000 0.500 0.000
Au 0.500 0.000 0.000

Properties
Excess energy over the best structure of this formula in the dataset (meV per atom): 425.9
Formation enthalpy at 0 K (eV per atom): 1.02

***

Ni3PAu: optimized geometry, PBE-GGA.

Lattice parameters (Å, degrees): 4.155 4.155 4.155 90.00 90.00 90.00
Sites, in units of the cell vectors:
Ni 0.000 0.000 0.500
Ni 0.000 0.500 0.000
Ni 0.500 0.000 0.000
P 0.000 0.000 0.000
Au 0.500 0.500 0.500

Properties
Excess energy over the best structure of this formula in the dataset (meV per atom): 0.0
Formation enthalpy at 0 K (eV per atom): 0.04

***

NiPAu2: optimized geometry, PBE-GGA.

Lattice parameters (Å, degrees): 3.154 4.476 4.488 90.00 90.00 90.00
Sites, in units of the cell vectors:
Ni 0.000 0.000 0.000
P 0.500 0.500 0.000
Au 0.000 0.500 0.500
Au 0.500 0.000 0.500

Properties
Formation enthalpy at 0 K (eV per atom): 0.33

***

Ni3PAu: optimized geometry, PBE-GGA.

Lattice parameters (Å, degrees): 4.633 4.633 4.633 90.00 90.00 90.00
Sites, in units of the cell vectors:
Ni 0.000 0.000 0.500
Ni 0.000 0.500 0.000
Ni 0.500 0.000 0.000
P 0.500 0.500 0.500
Au 0.000 0.000 0.000

Properties
Excess energy over the best structure of this formula in the dataset (meV per atom): 1434.2
Formation enthalpy at 0 K (eV per atom): 1.48

***

NiPAu3: optimized geometry, PBE-GGA.

Lattice parameters (Å, degrees): 4.663 4.663 4.663 90.00 90.00 90.00
Sites, in units of the cell vectors:
Ni 0.000 0.000 0.000
P 0.500 0.500 0.500
Au 0.000 0.500 0.500
Au 0.500 0.000 0.500
Au 0.500 0.500 0.000

Properties
Excess energy over the best structure of this formula in the dataset (meV per atom): 0.0
Formation enthalpy at 0 K (eV per atom): 0.60